Here is AgPSCl2 after structural relaxation from Alexandria. Energies are from PBE.

a = 5.6247 Å, b = 5.6247 Å, c = 4.1060 Å
α = 90.00°, β = 90.00°, γ = 90.00°
Fractional positions:
1 P 0.0000 0.0000 0.5000
2 S 0.0000 0.0000 0.0000
3 Ag 0.5000 0.5000 0.5000
4 Cl 0.0000 0.5000 0.0000
5 Cl 0.5000 0.0000 0.0000

Properties
symmetry: No. 123
formation energy without anion corrections: 0.5713 eV/atom
volume: 25.98 A^3/atom
DOS at the Fermi energy: 4.20 states/eV per cell